Record 1
Here is Ho6Er3Tm after structural relaxation from the Alexandria database. Energies are from PBE.

## Properties
The spin magnetization is 0.000 μB per cell. The formation energy comes out at 125 meV/atom. The space-group type is No. 36.

Lattice parameters (Å, degrees): 11.3866 11.3866 6.2844 90.00 90.00 130.60
With the nearest neighbours (Å) after each atom.
Fractional coordinates of all 20 atoms:
Ho  0.0153  0.9847  0.5000  4 Ho 3.21-3.52, 1 Tm 3.26, 4 Er 3.50-3.51
Ho  0.1044  0.5424  0.9939  2 Er 3.21-3.36, 3 Ho 3.36-3.52, 2 Tm 3.51-3.58
Ho  0.2575  0.3782  0.7546  3 Er 3.31-3.48, 4 Ho 3.47-3.63, 1 Tm 3.69
Ho  0.3008  0.6992  0.5353  1 Er 3.12, 1 Tm 3.24, 2 Ho 3.36
Ho  0.3782  0.2575  0.2546  3 Er 3.31-3.48, 4 Ho 3.47-3.63, 1 Tm 3.69
Ho  0.4576  0.8956  0.9939  2 Er 3.21-3.36, 3 Ho 3.36-3.52, 2 Tm 3.51-3.58
Ho  0.5424  0.1044  0.4939  2 Er 3.21-3.36, 3 Ho 3.36-3.52, 2 Tm 3.51-3.58
Ho  0.6218  0.7425  0.7546  3 Er 3.31-3.48, 4 Ho 3.47-3.63, 1 Tm 3.69
Ho  0.6992  0.3008  0.0353  1 Er 3.12, 1 Tm 3.24, 2 Ho 3.36
Ho  0.7425  0.6218  0.2546  3 Er 3.31-3.48, 4 Ho 3.47-3.63, 1 Tm 3.69
Ho  0.8956  0.4576  0.4939  2 Er 3.21-3.36, 3 Ho 3.36-3.52, 2 Tm 3.51-3.58
Ho  0.9847  0.0153  0.0000  4 Ho 3.21-3.52, 1 Tm 3.26, 4 Er 3.50-3.51
Er  0.0421  0.2953  0.3314  2 Er 3.21-3.36, 5 Ho 3.21-3.51, 1 Tm 3.45
Er  0.2953  0.0421  0.8314  2 Er 3.21-3.36, 5 Ho 3.21-3.51, 1 Tm 3.45
Er  0.4197  0.5803  0.2297  5 Ho 3.12-3.48, 2 Er 3.36
Er  0.5803  0.4197  0.7297  5 Ho 3.12-3.48, 2 Er 3.36
Er  0.7047  0.9579  0.3314  2 Er 3.21-3.36, 5 Ho 3.21-3.51, 1 Tm 3.45
Er  0.9579  0.7047  0.8314  2 Er 3.21-3.36, 5 Ho 3.21-3.51, 1 Tm 3.45
Tm  0.1610  0.8390  0.3042  6 Ho 3.24-3.58, 2 Er 3.45
Tm  0.8390  0.1610  0.8042  6 Ho 3.24-3.58, 2 Er 3.45

***

Record 2
Here is Y5Ho6Pu after structural relaxation from the Alexandria database. Energies are from PBE.

## Properties
The spin magnetization is 6.300 μB per cell. The formation energy comes out at 48 meV/atom. The space-group type is No. 65.

Lattice parameters (Å, degrees): 7.8932 7.8932 9.9969 90.00 90.00 143.08
With the nearest neighbours (Å) after each atom.
Fractional coordinates of all 12 atoms:
Y  0.0000  0.0000  0.0000  8 Ho 3.53-3.56, 4 Y 3.54
Y  0.3328  0.6672  0.0000  4 Y 3.52-3.54, 8 Ho 3.55-3.56
Y  0.3358  0.6642  0.5000  8 Ho 3.48-3.56, 2 Pu 3.51, 2 Y 3.59
Y  0.6642  0.3358  0.5000  8 Ho 3.48-3.56, 2 Pu 3.51, 2 Y 3.59
Y  0.6672  0.3328  0.0000  4 Y 3.52-3.54, 8 Ho 3.55-3.56
Ho  0.1650  0.8350  0.2528  1 Pu 3.49, 4 Ho 3.51-3.57, 7 Y 3.51-3.56
Ho  0.1650  0.8350  0.7472  1 Pu 3.49, 4 Ho 3.51-3.57, 7 Y 3.51-3.56
Ho  0.5000  0.5000  0.2529  6 Y 3.48-3.56, 4 Ho 3.51, 2 Pu 3.51
Ho  0.5000  0.5000  0.7471  6 Y 3.48-3.56, 4 Ho 3.51, 2 Pu 3.51
Ho  0.8350  0.1650  0.2528  1 Pu 3.49, 4 Ho 3.51-3.57, 7 Y 3.51-3.56
Ho  0.8350  0.1650  0.7472  1 Pu 3.49, 4 Ho 3.51-3.57, 7 Y 3.51-3.56
Pu  0.0000  0.0000  0.5000  8 Ho 3.49-3.51, 4 Y 3.51

***

Record 3
Here is BeCd2Ni after structural relaxation from the Alexandria database. Energies are from PBE.

## Properties
The spin magnetization is 0.000 μB per cell. The formation energy comes out at 393 meV/atom. The space-group type is No. 166.

Lattice parameters (Å, degrees): 8.6616 8.6616 8.6616 19.39 19.39 19.39
With the nearest neighbours (Å) after each atom.
Fractional coordinates of all 4 atoms:
Be  0.0000  0.0000  0.0000  6 Cd 2.70, 6 Be 2.92
Cd  0.2507  0.2507  0.2507  3 Be 2.70, 3 Ni 2.73, 6 Cd 2.92
Cd  0.7493  0.7493  0.7493  3 Be 2.70, 3 Ni 2.73, 6 Cd 2.92
Ni  0.5000  0.5000  0.5000  6 Cd 2.73, 6 Ni 2.92

***

Record 4
Here is Ta2Sn2Ge after structural relaxation from the Alexandria database. Energies are from PBE.

## Properties
The spin magnetization is 0.000 μB per cell. The formation energy comes out at 141 meV/atom. The space-group type is No. 127.

Lattice parameters (Å, degrees): 7.0224 7.0224 4.1703 90.00 90.00 90.00
With the nearest neighbours (Å) after each atom.
Fractional coordinates of all 10 atoms:
Ta  0.1479  0.3521  0.0000  2 Ge 2.68, 6 Sn 2.86-2.98, 1 Ta 2.94
Ta  0.3521  0.8521  0.0000  2 Ge 2.68, 6 Sn 2.86-2.98, 1 Ta 2.94
Ta  0.6479  0.1479  0.0000  2 Ge 2.68, 6 Sn 2.86-2.98, 1 Ta 2.94
Ta  0.8521  0.6479  0.0000  2 Ge 2.68, 6 Sn 2.86-2.98, 1 Ta 2.94
Sn  0.1550  0.6550  0.5000  6 Ta 2.86-2.98, 1 Sn 3.08
Sn  0.3450  0.1550  0.5000  6 Ta 2.86-2.98, 1 Sn 3.08
Sn  0.6550  0.8450  0.5000  6 Ta 2.86-2.98, 1 Sn 3.08
Sn  0.8450  0.3450  0.5000  6 Ta 2.86-2.98, 1 Sn 3.08
Ge  0.0000  0.0000  0.0000  4 Ta 2.68
Ge  0.5000  0.5000  0.0000  4 Ta 2.68

***

Record 5
Here is CaLa3Ru after structural relaxation from the Alexandria database. Energies are from PBE.

## Properties
The spin magnetization is 0.000 μB per cell. The formation energy comes out at 283 meV/atom. The space-group type is No. 99.

Lattice parameters (Å, degrees): 4.3693 4.3693 9.9975 90.00 90.00 90.00
With the nearest neighbours (Å) after each atom.
Fractional coordinates of all 5 atoms:
Ca  0.0000  0.0000  0.0000  5 La 3.89-3.91
La  0.0000  0.0000  0.6109  4 Ru 3.19
La  0.0000  0.5000  0.3243  2 Ru 3.02, 4 La 3.09
La  0.5000  0.0000  0.3243  2 Ru 3.02, 4 La 3.09
Ru  0.5000  0.5000  0.5330  8 La 3.02-3.19

***

Record 6
Here is CsTcCl6 after structural relaxation from the Alexandria database. Energies are from PBE.

## Properties
The spin magnetization is 2.000 μB per cell. The space-group type is No. 166. The value obtained for the formation energy without anion corrections is -0.975 eV per atom.

Lattice parameters (Å, degrees): 7.4744 7.4744 7.4744 55.34 55.34 55.34
With the nearest neighbours (Å) after each atom.
Fractional coordinates of all 8 atoms:
Cs  0.0000  0.0000  0.0000  12 Cl 3.92
Tc  0.5000  0.5000  0.5000  6 Cl 2.33
Cl  0.1117  0.5875  0.5875  1 Tc 2.33
Cl  0.4125  0.4125  0.8883  1 Tc 2.33
Cl  0.4125  0.8883  0.4125  1 Tc 2.33
Cl  0.5875  0.1117  0.5875  1 Tc 2.33
Cl  0.5875  0.5875  0.1117  1 Tc 2.33
Cl  0.8883  0.4125  0.4125  1 Tc 2.33

***

Which value of spin magnetization does entry 6 give? 2.000 μB per cell

***

Look up the spin magnetization of the third one. 0.000 μB per cell